First-principles (GGA-PBE) data for a geometry-optimized Hf2MgZr2 structure, as listed in Alexandria via LeMat-Bulk.

Output
Symmetry   Cmcm
Total magnetization   0.00 μB per formula unit
Energy above the lowest structure with this stoichiometry   0.000 eV/atom
Formation energy from the elements   24 meV per atom
ρ   8.23 g/cm³
DOS at the Fermi energy   4.99 states/eV/f.u.

Geometry as POSCAR:
```
Hf2MgZr2
1.0
8.058 -2.746 0.000
8.058 2.746 0.000
0.000 0.000 5.140
Hf Mg Zr
4 2 4
Direct
0.038 0.368 0.250 Hf
0.368 0.038 0.750 Hf
0.632 0.962 0.250 Hf
0.962 0.632 0.750 Hf
0.177 0.823 0.750 Mg
0.823 0.177 0.250 Mg
0.217 0.575 0.250 Zr
0.425 0.783 0.250 Zr
0.575 0.217 0.750 Zr
0.783 0.425 0.750 Zr
```

=====

First-principles (GGA-PBE) data for a geometry-optimized Hf2MgZr structure, as listed in Alexandria via LeMat-Bulk.

Output
Symmetry   C2/m
Total magnetization   0.00 μB per formula unit
Formation energy from the elements   89 meV per atom
ρ   8.58 g/cm³
DOS at the Fermi energy   3.12 states/eV/f.u.

Geometry as POSCAR:
```
Hf2MgZr
1.0
7.535 -1.551 0.000
7.535 1.551 0.000
-1.158 0.000 7.818
Hf Mg Zr
4 2 2
Direct
0.041 0.041 0.203 Hf
0.269 0.269 0.674 Hf
0.731 0.731 0.326 Hf
0.959 0.959 0.797 Hf
0.348 0.348 0.061 Mg
0.652 0.652 0.939 Mg
0.408 0.408 0.455 Zr
0.592 0.592 0.545 Zr
```

=====

First-principles (GGA-PBE) data for a geometry-optimized Hf2MgZr structure, as listed in Alexandria via LeMat-Bulk.

Output
Symmetry   I-42d
Total magnetization   0.00 μB per formula unit
Formation energy from the elements   503 meV per atom
ρ   8.45 g/cm³
DOS at the Fermi energy   4.30 states/eV/f.u.

Geometry as POSCAR:
```
Hf2MgZr
1.0
-2.110 2.110 10.424
2.110 -2.110 10.424
2.110 2.110 -10.424
Hf Mg Zr
4 2 2
Direct
0.120 0.625 0.995 Hf
0.375 0.370 0.495 Hf
0.630 0.125 0.005 Hf
0.875 0.880 0.505 Hf
0.250 0.750 0.500 Mg
0.500 0.500 0.000 Mg
0.000 0.000 0.000 Zr
0.750 0.250 0.500 Zr
```

=====

First-principles (GGA-PBE) data for a geometry-optimized Hf2MgZr5 structure, as listed in Alexandria via LeMat-Bulk.

Output
Symmetry   P2_1/m
Total magnetization   0.00 μB per formula unit
Formation energy from the elements   53 meV per atom
ρ   7.56 g/cm³
DOS at the Fermi energy   9.66 states/eV/f.u.

Geometry as POSCAR:
```
Hf2MgZr5
1.0
3.199 0.000 0.000
0.000 10.352 0.000
-0.009 0.000 11.103
Hf Mg Zr
4 2 10
Direct
0.248 0.250 0.046 Hf
0.251 0.250 0.547 Hf
0.749 0.750 0.453 Hf
0.752 0.750 0.954 Hf
0.250 0.750 0.709 Mg
0.750 0.250 0.291 Mg
0.248 0.502 0.377 Zr
0.248 0.998 0.377 Zr
0.249 0.750 0.208 Zr
0.251 0.002 0.879 Zr
0.251 0.498 0.879 Zr
0.749 0.502 0.121 Zr
0.749 0.998 0.121 Zr
0.751 0.250 0.792 Zr
0.752 0.002 0.623 Zr
0.752 0.498 0.623 Zr
```

=====

First-principles (GGA-PBE) data for a geometry-optimized HfMgZr6 structure, as listed in Alexandria via LeMat-Bulk.

Output
Symmetry   C2/m
Total magnetization   0.00 μB per formula unit
Energy above the lowest structure with this stoichiometry   0.150 eV/atom
Formation energy from the elements   169 meV per atom
ρ   6.76 g/cm³
DOS at the Fermi energy   8.76 states/eV/f.u.

Geometry as POSCAR:
```
HfMgZr6
1.0
3.012 -5.058 0.000
3.012 5.058 0.000
-0.311 0.000 6.050
Hf Mg Zr
1 1 6
Direct
0.000 0.000 0.000 Hf
0.000 0.000 0.500 Mg
0.064 0.536 0.762 Zr
0.438 0.438 0.246 Zr
0.464 0.936 0.238 Zr
0.536 0.064 0.762 Zr
0.562 0.562 0.754 Zr
0.936 0.464 0.238 Zr
```

=====

First-principles (GGA-PBE) data for a geometry-optimized Hf3MgZr structure, as listed in Alexandria via LeMat-Bulk.

Output
Symmetry   Pm-3m
Total magnetization   0.13 μB per formula unit
Energy above the lowest structure with this stoichiometry   1.139 eV/atom
Formation energy from the elements   1219 meV per atom
ρ   8.58 g/cm³
DOS at the Fermi energy   9.89 states/eV/f.u.

Geometry as POSCAR:
```
Hf3MgZr
1.0
5.014 0.000 0.000
0.000 5.014 0.000
0.000 0.000 5.014
Hf Mg Zr
3 1 1
Direct
0.000 0.000 0.500 Hf
0.000 0.500 0.000 Hf
0.500 0.000 0.000 Hf
0.000 0.000 0.000 Mg
0.500 0.500 0.500 Zr
```

=====

First-principles (GGA-PBE) data for a geometry-optimized HfMg2Zr structure, as listed in Alexandria via LeMat-Bulk.

Output
Symmetry   P4/mmm
Total magnetization   0.00 μB per formula unit
Formation energy from the elements   149 meV per atom
ρ   6.14 g/cm³
DOS at the Fermi energy   1.96 states/eV/f.u.

Geometry as POSCAR:
```
HfMg2Zr
1.0
3.498 0.000 0.000
0.000 3.498 0.000
0.000 0.000 7.037
Hf Mg Zr
1 2 1
Direct
0.000 0.000 0.000 Hf
0.500 0.500 0.247 Mg
0.500 0.500 0.753 Mg
0.000 0.000 0.500 Zr
```

=====

First-principles (GGA-PBE) data for a geometry-optimized Hf2MgZr structure, as listed in Alexandria via LeMat-Bulk.

Output
Symmetry   P4/mmm
Total magnetization   0.00 μB per formula unit
Formation energy from the elements   68 meV per atom
ρ   8.91 g/cm³
DOS at the Fermi energy   5.81 states/eV/f.u.

Geometry as POSCAR:
```
Hf2MgZr
1.0
4.440 0.000 0.000
0.000 4.440 0.000
0.000 0.000 4.468
Hf Mg Zr
2 1 1
Direct
0.000 0.500 0.000 Hf
0.500 0.000 0.000 Hf
0.000 0.000 0.500 Mg
0.500 0.500 0.500 Zr
```

=====

First-principles (GGA-PBE) data for a geometry-optimized Hf2MgZr8 structure, as listed in Alexandria via LeMat-Bulk.

Output
Symmetry   C2/m
Total magnetization   0.00 μB per formula unit
Formation energy from the elements   140 meV per atom
ρ   7.01 g/cm³
DOS at the Fermi energy   11.61 states/eV/f.u.

Geometry as POSCAR:
```
Hf2MgZr8
1.0
8.745 -3.097 0.000
8.745 3.097 0.000
-0.386 0.000 4.862
Hf Mg Zr
2 1 8
Direct
0.216 0.216 0.254 Hf
0.784 0.784 0.746 Hf
0.500 0.500 0.000 Mg
0.048 0.048 0.228 Zr
0.105 0.637 0.275 Zr
0.321 0.321 0.778 Zr
0.363 0.895 0.725 Zr
0.637 0.105 0.275 Zr
0.679 0.679 0.222 Zr
0.895 0.363 0.725 Zr
0.952 0.952 0.772 Zr
```

=====

First-principles (GGA-PBE) data for a geometry-optimized HfMgZr structure, as listed in Alexandria via LeMat-Bulk.

Output
Symmetry   I4mm
Total magnetization   0.00 μB per formula unit
Energy above the lowest structure with this stoichiometry   0.013 eV/atom
Formation energy from the elements   5 meV per atom
ρ   7.06 g/cm³
DOS at the Fermi energy   2.03 states/eV/f.u.

Geometry as POSCAR:
```
HfMgZr
1.0
-1.542 1.542 7.274
1.542 -1.542 7.274
1.542 1.542 -7.274
Hf Mg Zr
1 1 1
Direct
0.000 0.000 0.000 Hf
0.327 0.327 0.000 Mg
0.650 0.650 0.000 Zr
```

=====

First-principles (GGA-PBE) data for a geometry-optimized HfMg6Zr structure, as listed in Alexandria via LeMat-Bulk.

Output
Symmetry   Amm2
Total magnetization   0.00 μB per formula unit
Energy above the lowest structure with this stoichiometry   0.000 eV/atom
Formation energy from the elements   95 meV per atom
ρ   3.83 g/cm³
DOS at the Fermi energy   6.01 states/eV/f.u.

Geometry as POSCAR:
```
HfMg6Zr
1.0
5.039 0.000 0.000
0.000 3.153 5.673
0.000 -3.153 5.673
Hf Mg Zr
1 6 1
Direct
0.000 0.000 0.000 Hf
0.000 0.480 0.993 Mg
0.000 0.483 0.483 Mg
0.000 0.993 0.480 Mg
0.500 0.131 0.644 Mg
0.500 0.641 0.641 Mg
0.500 0.644 0.131 Mg
0.500 0.124 0.124 Zr
```

=====

First-principles (GGA-PBE) data for a geometry-optimized HfMg2Zr structure, as listed in Alexandria via LeMat-Bulk.

Output
Symmetry   P4mm
Total magnetization   0.00 μB per formula unit
Formation energy from the elements   -14 meV per atom
ρ   5.78 g/cm³
DOS at the Fermi energy   2.75 states/eV/f.u.

Geometry as POSCAR:
```
HfMg2Zr
1.0
3.087 0.000 0.000
0.000 3.087 0.000
0.000 0.000 9.596
Hf Mg Zr
1 2 1
Direct
0.000 0.000 0.000 Hf
0.000 0.000 0.490 Mg
0.500 0.500 0.741 Mg
0.500 0.500 0.228 Zr
```

=====

First-principles (GGA-PBE) data for a geometry-optimized HfMg2Zr structure, as listed in Alexandria via LeMat-Bulk.

Output
Symmetry   R-3m
Total magnetization   0.00 μB per formula unit
Formation energy from the elements   97 meV per atom
ρ   5.94 g/cm³
DOS at the Fermi energy   3.46 states/eV/f.u.

Geometry as POSCAR:
```
HfMg2Zr
1.0
1.535 0.886 10.914
-1.535 0.886 10.914
0.000 -1.772 10.914
Hf Mg Zr
1 2 1
Direct
0.000 0.000 0.000 Hf
0.250 0.250 0.250 Mg
0.750 0.750 0.750 Mg
0.500 0.500 0.500 Zr
```

=====

First-principles (GGA-PBE) data for a geometry-optimized Hf3Mg3Zr5 structure, as listed in Alexandria via LeMat-Bulk.

Output
Symmetry   P-62m
Total magnetization   0.00 μB per formula unit
Formation energy from the elements   490 meV per atom
ρ   6.70 g/cm³
DOS at the Fermi energy   9.26 states/eV/f.u.

Geometry as POSCAR:
```
Hf3Mg3Zr5
1.0
10.090 0.000 0.000
-5.045 8.738 0.000
0.000 0.000 2.991
Hf Mg Zr
3 3 5
Direct
0.000 0.162 0.000 Hf
0.162 0.000 0.000 Hf
0.838 0.838 0.000 Hf
0.000 0.415 0.500 Mg
0.415 0.000 0.500 Mg
0.585 0.585 0.500 Mg
0.000 0.667 0.000 Zr
0.333 0.333 0.000 Zr
0.333 0.667 0.000 Zr
0.667 0.000 0.000 Zr
0.667 0.333 0.000 Zr
```

=====

First-principles (GGA-PBE) data for a geometry-optimized Hf2Mg3Zr2 structure, as listed in Alexandria via LeMat-Bulk.

Output
Symmetry   Cmmm
Total magnetization   0.00 μB per formula unit
Formation energy from the elements   46 meV per atom
ρ   6.27 g/cm³
DOS at the Fermi energy   4.23 states/eV/f.u.

Geometry as POSCAR:
```
Hf2Mg3Zr2
1.0
1.551 -16.971 0.000
1.551 16.971 0.000
0.000 0.000 3.082
Hf Mg Zr
2 3 2
Direct
0.208 0.792 0.000 Hf
0.792 0.208 0.000 Hf
0.070 0.930 0.000 Mg
0.500 0.500 0.500 Mg
0.930 0.070 0.000 Mg
0.357 0.643 0.500 Zr
0.643 0.357 0.500 Zr
```

=====

First-principles (GGA-PBE) data for a geometry-optimized Hf4MgZr4 structure, as listed in Alexandria via LeMat-Bulk.

Output
Symmetry   C2/m
Total magnetization   0.00 μB per formula unit
Formation energy from the elements   109 meV per atom
ρ   9.02 g/cm³
DOS at the Fermi energy   11.84 states/eV/f.u.

Geometry as POSCAR:
```
Hf4MgZr4
1.0
7.236 -2.586 0.000
7.236 2.586 0.000
-1.439 0.000 5.424
Hf Mg Zr
4 1 4
Direct
0.177 0.177 0.353 Hf
0.286 0.286 0.919 Hf
0.714 0.714 0.081 Hf
0.823 0.823 0.647 Hf
0.500 0.500 0.000 Mg
0.061 0.061 0.781 Zr
0.396 0.396 0.491 Zr
0.604 0.604 0.509 Zr
0.939 0.939 0.219 Zr
```

=====

First-principles (GGA-PBE) data for a geometry-optimized Hf2MgZr2 structure, as listed in Alexandria via LeMat-Bulk.

Output
Symmetry   C2/c
Total magnetization   0.00 μB per formula unit
Energy above the lowest structure with this stoichiometry   0.022 eV/atom
Formation energy from the elements   46 meV per atom
ρ   8.29 g/cm³
DOS at the Fermi energy   5.58 states/eV/f.u.

Geometry as POSCAR:
```
Hf2MgZr2
1.0
7.066 -2.798 0.000
7.066 2.798 0.000
-1.541 0.000 5.708
Hf Mg Zr
4 2 4
Direct
0.020 0.180 0.453 Hf
0.180 0.020 0.953 Hf
0.820 0.980 0.047 Hf
0.980 0.820 0.547 Hf
0.418 0.582 0.250 Mg
0.582 0.418 0.750 Mg
0.207 0.398 0.841 Zr
0.398 0.207 0.341 Zr
0.602 0.793 0.659 Zr
0.793 0.602 0.159 Zr
```

=====

First-principles (GGA-PBE) data for a geometry-optimized Hf12MgZr6 structure, as listed in Alexandria via LeMat-Bulk.

Output
Symmetry   P-1
Total magnetization   0.00 μB per formula unit
Formation energy from the elements   98 meV per atom
ρ   10.41 g/cm³
DOS at the Fermi energy   19.12 states/eV/f.u.

Geometry as POSCAR:
```
Hf12MgZr6
1.0
7.756 0.000 0.000
-3.581 6.965 0.000
-2.138 -3.216 8.015
Hf Mg Zr
12 1 6
Direct
0.036 0.150 0.290 Hf
0.137 0.894 0.080 Hf
0.238 0.289 0.663 Hf
0.252 0.922 0.461 Hf
0.368 0.683 0.218 Hf
0.373 0.301 0.036 Hf
0.627 0.699 0.964 Hf
0.632 0.317 0.782 Hf
0.748 0.078 0.539 Hf
0.762 0.711 0.337 Hf
0.863 0.106 0.920 Hf
0.964 0.850 0.710 Hf
0.000 0.500 0.500 Mg
0.088 0.507 0.855 Zr
0.379 0.903 0.823 Zr
0.485 0.679 0.577 Zr
0.515 0.321 0.423 Zr
0.621 0.097 0.177 Zr
0.912 0.493 0.145 Zr
```

=====

First-principles (GGA-PBE) data for a geometry-optimized Hf2MgZr6 structure, as listed in Alexandria via LeMat-Bulk.

Output
Symmetry   P-6m2
Total magnetization   0.00 μB per formula unit
Formation energy from the elements   57 meV per atom
ρ   7.37 g/cm³
DOS at the Fermi energy   10.47 states/eV/f.u.

Geometry as POSCAR:
```
Hf2MgZr6
1.0
3.195 0.000 0.000
-1.598 2.767 0.000
0.000 0.000 23.660
Hf Mg Zr
2 1 6
Direct
0.000 0.000 0.168 Hf
0.000 0.000 0.832 Hf
0.333 0.667 0.500 Mg
0.000 0.000 0.386 Zr
0.000 0.000 0.614 Zr
0.333 0.667 0.062 Zr
0.333 0.667 0.277 Zr
0.333 0.667 0.723 Zr
0.333 0.667 0.938 Zr
```

=====

First-principles (GGA-PBE) data for a geometry-optimized Hf3Mn structure, as listed in Alexandria via LeMat-Bulk.

Output
Symmetry   Pmm2
Total magnetization   1.75 μB per formula unit
Formation energy from the elements   318 meV per atom
ρ   11.81 g/cm³
DOS at the Fermi energy   4.07 states/eV/f.u.

Geometry as POSCAR:
```
Hf3Mn
1.0
2.990 0.000 0.000
0.000 3.154 0.000
0.000 0.000 8.802
Hf Mn
3 1
Direct
0.000 0.000 0.000 Hf
0.000 0.500 0.328 Hf
0.500 0.500 0.752 Hf
0.500 0.000 0.508 Mn
```